Record 1
## TiNbS2 (PBE)

Data for a relaxed TiNbS2 crystal.

It has space group R-3m (No. 166, hexagonal axes), with a = 3.2033 Å, b = 3.2033 Å, c = 24.1816 Å, α = 90.00°, β = 90.00° and γ = 120.00°. The asymmetric unit holds Ti at (0.0000, 0.0000, 0.0000), Nb at (0.0000, 0.0000, 0.5000) and S at (0.0000, 0.0000, 0.3976).

The total moment comes out at 0.000 μB/cell. The uncorrected formation energy comes out at -0.68 eV per atom. The density of states at the Fermi level is 6.453 states/eV/f.u.


Record 2
## TbMnSi (PBE)

Data for a relaxed TbMnSi crystal.

It has space group Pnma (No. 62), with a = 7.033 Å, b = 4.125 Å, c = 7.546 Å, α = 90.00°, β = 90.00° and γ = 90.00°. The asymmetric unit holds Tb at (0.007, 0.250, 0.185), Mn at (0.137, 0.250, 0.558) and Si at (0.210, 0.750, 0.390).

The total moment comes out at 9.807 μB/cell. The uncorrected formation energy comes out at -0.50 eV per atom. The density of states at the Fermi level is 2.523 states/eV/f.u.


Record 3
## Rb2CrPd (PBE)

Data for a relaxed Rb2CrPd crystal.

It has space group Fm-3m (No. 225), with a = 8.313 Å, b = 8.313 Å, c = 8.313 Å, α = 90.00°, β = 90.00° and γ = 90.00°. The asymmetric unit holds Rb at (0.250, 0.250, 0.250), Cr at (0.000, 0.000, 0.000) and Pd at (0.000, 0.000, 0.500).

The value obtained for the final energy is -3.3264 eV per atom. The total moment comes out at 23.177 μB/cell. The density of states at the Fermi level is 1.262 states/eV/f.u.


What is the total moment in the first record?
0.000 μB/cell